DFT (PBE-GGA) results for a geometry-optimized ZrMn2SnRh structure.

Unit cell a=4.8619 b=4.7899 c=4.8619 alpha=90.00 beta=90.00 gamma=90.00
Last column: nearest neighbours and their distance in Å.
Atoms (fractional coordinates):
Mn1 0.0000 0.0000 0.5000  2 Zr 2.43
Mn2 0.5000 0.0000 0.0000  2 Zr 2.43
Rh1 0.0000 0.5000 0.0000  2 Zr 2.39
Sn1 0.5000 0.5000 0.5000  8 Mn 3.41, 4 Rh 3.44
Zr1 0.0000 0.0000 0.0000  2 Rh 2.39, 4 Mn 2.43

## Properties
Space-group type: No. 123
E, eV/f.u.: -33.18
Mass density, g/cm3: 6.20
V, Å³/f.u.: 113.22
Calculated formation energy, eV per atom: 1.013

DFT (PBE-GGA) results for a geometry-optimized BeBPb structure.

Unit cell a=3.4077 b=5.0258 c=6.9929 alpha=110.72 beta=89.72 gamma=110.35
Last column: nearest neighbours and their distance in Å.
Atoms (fractional coordinates):
Pb1 0.8308 0.0410 0.3582  3 B 2.73-2.97, 3 Be 2.74-2.87
Pb2 0.9945 0.3824 0.9854  3 B 2.72-2.92, 3 Be 2.72-2.86
Be1 0.7089 0.7825 0.6708  4 B 1.89-1.92, 1 Be 2.02
Be2 0.4891 0.3557 0.6732  3 B 1.87-2.05, 1 Be 2.02
B1 0.3003 0.9604 0.6771  1 B 1.70, 3 Be 1.87-1.89
B2 0.1148 0.5991 0.6753  1 B 1.70

## Properties
Space-group type: No. 1
E, eV/f.u.: -13.01
Mass density, g/cm3: 7.25
V, Å³/f.u.: 52.03
Calculated formation energy, eV per atom: 0.368
Excess energy over the best structure of this formula in the dataset, meV per atom: 209

DFT (PBE-GGA) results for a geometry-optimized Cr2SbAs structure.

Unit cell a=3.7154 b=3.7154 c=6.6595 alpha=73.80 beta=73.80 gamma=60.07
Last column: nearest neighbours and their distance in Å.
Atoms (fractional coordinates):
As1 0.7500 0.7500 0.7500  6 Cr 2.54
Cr1 0.0109 0.0109 0.9664  3 As 2.54, 3 Sb 2.79
Cr2 0.4891 0.4891 0.5336  3 As 2.54, 3 Sb 2.79
Sb1 0.2500 0.2500 0.2500  6 Cr 2.79

## Properties
Space-group type: No. 166
E, eV/f.u.: -27.57
Raw formation energy, meV/atom: 111.6
Mass density, g/cm3: 6.62
V, Å³/f.u.: 75.42

DFT (PBE-GGA) results for a geometry-optimized Na3LiTh2S6 structure.

Unit cell a=7.0815 b=7.0815 c=7.0537 alpha=99.64 beta=99.64 gamma=119.93
Last column: nearest neighbours and their distance in Å.
Atoms (fractional coordinates):
Na1 0.1616 0.8384 0.5000  6 S 2.95-3.00
Na2 0.8384 0.1616 0.5000  6 S 2.95-3.00
Na3 0.5000 0.5000 0.5000  6 S 2.91-2.99
Li1 0.0000 0.0000 0.0000  6 S 2.86-2.87
Th1 0.3329 0.6671 0.0000  6 S 2.78-2.79
Th2 0.6671 0.3329 0.0000  6 S 2.78-2.79
S1 0.9233 0.5815 0.7705  2 Th 2.78-2.79, 1 Li 2.86, 3 Na 2.96-3.00
S2 0.7345 0.7345 0.2308  2 Th 2.79, 1 Li 2.87, 3 Na 2.91-2.95
S3 0.0767 0.4185 0.2295  2 Th 2.78-2.79, 1 Li 2.86, 3 Na 2.96-3.00
S4 0.5815 0.9233 0.7705  2 Th 2.78-2.79, 1 Li 2.86, 3 Na 2.96-3.00
S5 0.2655 0.2655 0.7692  2 Th 2.79, 1 Li 2.87, 3 Na 2.91-2.95
S6 0.4185 0.0767 0.2295  2 Th 2.78-2.79, 1 Li 2.86, 3 Na 2.96-3.00

## Properties
Space-group type: No. 12
E, eV/f.u.: -65.25
Raw formation energy, meV/atom: -1648.0
Mass density, g/cm3: 4.21
V, Å³/f.u.: 288.86

DFT (PBE-GGA) results for a geometry-optimized SnTePd14 structure.

Unit cell a=5.7940 b=5.7940 c=7.6421 alpha=90.00 beta=90.00 gamma=90.00
Last column: nearest neighbours and their distance in Å.
Atoms (fractional coordinates):
Sn1 0.8750 0.8750 0.5000  12 Pd 2.80-2.90
Te1 0.3750 0.3750 0.5000  12 Pd 2.81-2.90
Pd1 0.8750 0.8750 0.0000  12 Pd 2.80-2.90
Pd2 0.3750 0.3750 0.0000  12 Pd 2.80-2.90
Pd3 0.8750 0.3750 0.5000  8 Pd 2.80, 2 Te 2.90, 2 Sn 2.90
Pd4 0.8750 0.3750 0.0000  12 Pd 2.80-2.90
Pd5 0.3750 0.8750 0.5000  8 Pd 2.80, 2 Te 2.90, 2 Sn 2.90
Pd6 0.3750 0.8750 0.0000  12 Pd 2.80-2.90
Pd7 0.6253 0.1247 0.2493  10 Pd 2.80-2.90, 1 Sn 2.80, 1 Te 2.81
Pd8 0.6253 0.1247 0.7507  10 Pd 2.80-2.90, 1 Sn 2.80, 1 Te 2.81
Pd9 0.1247 0.6253 0.2493  10 Pd 2.80-2.90, 1 Sn 2.80, 1 Te 2.81
Pd10 0.1247 0.6253 0.7507  10 Pd 2.80-2.90, 1 Sn 2.80, 1 Te 2.81
Pd11 0.6253 0.6253 0.2493  10 Pd 2.80-2.90, 1 Sn 2.80, 1 Te 2.81
Pd12 0.6253 0.6253 0.7507  10 Pd 2.80-2.90, 1 Sn 2.80, 1 Te 2.81
Pd13 0.1247 0.1247 0.2493  10 Pd 2.80-2.90, 1 Sn 2.80, 1 Te 2.81
Pd14 0.1247 0.1247 0.7507  10 Pd 2.80-2.90, 1 Sn 2.80, 1 Te 2.81

## Properties
Space-group type: No. 123
E, eV/f.u.: -82.75
Raw formation energy, meV/atom: -181.4
Mass density, g/cm3: 11.24
V, Å³/f.u.: 256.54

DFT (PBE-GGA) results for a geometry-optimized CrP2SBr structure.

Unit cell a=4.5941 b=4.5941 c=4.3189 alpha=90.00 beta=90.00 gamma=90.00
Last column: nearest neighbours and their distance in Å.
Atoms (fractional coordinates):
Cr1 0.0000 0.0000 0.0000  2 S 2.16, 4 P 2.30
S1 0.0000 0.0000 0.5000  2 Cr 2.16
Br1 0.5000 0.5000 0.5000  8 P 3.15, 4 S 3.25
P1 0.0000 0.5000 0.0000  2 Cr 2.30
P2 0.5000 0.0000 0.0000  2 Cr 2.30

## Properties
Space-group type: No. 123
E, eV/f.u.: -24.59
Raw formation energy, meV/atom: 331.3
Mass density, g/cm3: 4.12
V, Å³/f.u.: 91.15
Excess energy over the best structure of this formula in the dataset, meV per atom: 0

DFT (PBE-GGA) results for a geometry-optimized BaNaUN3 structure.

Unit cell a=6.0423 b=5.9891 c=6.9277 alpha=64.39 beta=85.02 gamma=78.42
Last column: nearest neighbours and their distance in Å.
Atoms (fractional coordinates):
Ba1 0.2500 0.2478 0.5045  6 N 2.94-3.03
Ba2 0.7500 0.7522 0.4955  6 N 2.94-3.03
Na1 0.2500 0.5679 0.8642  5 N 2.56-2.65
Na2 0.7500 0.4321 0.1358  5 N 2.56-2.65
U1 0.7500 0.0667 0.8666  5 N 2.00-2.24
U2 0.2500 0.9333 0.1334  5 N 2.00-2.24
N1 0.4910 0.8628 0.8930  2 U 2.12-2.24
N2 0.0090 0.2442 0.8930  2 U 2.12-2.24
N3 0.7500 0.2270 0.5460  1 U 2.00
N4 0.5090 0.1372 0.1070  2 U 2.12-2.24
N5 0.9910 0.7558 0.1070  2 U 2.12-2.24
N6 0.2500 0.7730 0.4540  1 U 2.00

## Properties
Space-group type: No. 15
E, eV/f.u.: -44.72
Raw formation energy, meV/atom: -868.7
Mass density, g/cm3: 6.60
V, Å³/f.u.: 110.73

DFT (PBE-GGA) results for a geometry-optimized Ac2CCl structure.

Unit cell a=4.0100 b=4.0100 c=8.0455 alpha=75.57 beta=75.57 gamma=60.00
Last column: nearest neighbours and their distance in Å.
Atoms (fractional coordinates):
Ac1 0.2686 0.2686 0.1941  3 C 2.76
Ac2 0.7314 0.7314 0.8059  3 C 2.76
C1 0.0000 0.0000 0.0000  6 Ac 2.76
Cl1 0.5000 0.5000 0.5000  6 Ac 3.30

## Properties
Space-group type: No. 166
E, eV/f.u.: -22.67
Raw formation energy, meV/atom: -846.2
Mass density, g/cm3: 7.76
V, Å³/f.u.: 107.30
Excess energy over the best structure of this formula in the dataset, meV per atom: 0

DFT (PBE-GGA) results for a geometry-optimized LiCo2Mo structure.

Unit cell a=2.5789 b=2.5789 c=8.2816 alpha=90.00 beta=90.00 gamma=107.96
Last column: nearest neighbours and their distance in Å.
Atoms (fractional coordinates):
Co1 0.0000 0.0000 0.9979  2 Mo 2.55, 4 Co 2.58, 2 Li 2.58
Co2 0.0000 0.0000 0.5021  2 Mo 2.55, 4 Co 2.58, 2 Li 2.58
Li1 0.5000 0.5000 0.2500  4 Li 2.58, 4 Co 2.58
Mo1 0.5000 0.5000 0.7500  4 Co 2.55, 4 Mo 2.58

## Properties
Space-group type: No. 65
E, eV/f.u.: -26.00
Mass density, g/cm3: 7.00
V, Å³/f.u.: 52.40
Calculated formation energy, eV per atom: 0.240
Excess energy over the best structure of this formula in the dataset, meV per atom: 94

DFT (PBE-GGA) results for a geometry-optimized LaI2BrN structure.

Unit cell a=6.6347 b=6.6347 c=4.1796 alpha=90.00 beta=90.00 gamma=90.00
Last column: nearest neighbours and their distance in Å.
Atoms (fractional coordinates):
I1 0.0000 0.5000 0.0000  2 La 3.32
I2 0.5000 0.0000 0.0000  2 La 3.32
N1 0.0000 0.0000 0.5000  2 La 2.09
Br1 0.5000 0.5000 0.5000  8 I 3.92, 2 Br 4.18
La1 0.0000 0.0000 0.0000  2 N 2.09

## Properties
Space-group type: No. 123
E, eV/f.u.: -18.59
Raw formation energy, meV/atom: -111.9
Mass density, g/cm3: 4.39
V, Å³/f.u.: 183.99
Excess energy over the best structure of this formula in the dataset, meV per atom: 0

DFT (PBE-GGA) results for a geometry-optimized AlNiP2C structure.

Unit cell a=3.4627 b=3.4627 c=6.2919 alpha=90.00 beta=90.00 gamma=120.00
Last column: nearest neighbours and their distance in Å.
Atoms (fractional coordinates):
Ni1 0.3333 0.6667 0.3468  6 P 2.23-2.28
C1 0.0000 0.0000 0.8944  1 P 1.75
Al1 0.3333 0.6667 0.8044  3 C 2.08
P1 0.6667 0.3333 0.5027  3 Ni 2.23
P2 0.0000 0.0000 0.1729  1 C 1.75

## Properties
Space-group type: No. 156
E, eV/f.u.: -29.78
Mass density, g/cm3: 4.06
V, Å³/f.u.: 65.33
Calculated formation energy, eV per atom: -0.042
Excess energy over the best structure of this formula in the dataset, meV per atom: 79

DFT (PBE-GGA) results for a geometry-optimized Ca5Sb structure.

Unit cell a=6.7766 b=6.7766 c=6.2829 alpha=90.00 beta=90.00 gamma=120.00
Last column: nearest neighbours and their distance in Å.
Atoms (fractional coordinates):
Ca1 0.3333 0.6667 0.0000  9 Ca 3.70-3.91, 3 Sb 3.91
Ca2 0.6667 0.3333 0.0000  9 Ca 3.70-3.91, 3 Sb 3.91
Ca3 0.5000 0.0000 0.5000  8 Ca 3.39-3.70
Ca4 0.0000 0.5000 0.5000  8 Ca 3.39-3.70
Ca5 0.5000 0.5000 0.5000  8 Ca 3.39-3.70
Sb1 0.0000 0.0000 0.0000  6 Ca 3.91

## Properties
Space-group type: No. 191
E, eV/f.u.: -12.89
Raw formation energy, meV/atom: 206.8
Mass density, g/cm3: 2.14
V, Å³/f.u.: 249.87
Excess energy over the best structure of this formula in the dataset, meV per atom: 546